V4Ru3W2 | Alexandria | PBE | relaxed; space group = No. 164; ΔH_f (0 K) = -130 meV/atom; E = -91.4 eV/cell; calculated density = 11393 kg/m³
1.0
4.3199 0.0000 0.0000
-2.1600 3.7411 0.0000
0.0000 0.0000 7.8873
V Ru W
4 3 2
direct
0.0000 0.0000 0.1594
0.0000 0.0000 0.8406
0.3333 0.6667 0.3891
0.6667 0.3333 0.6109
0.0000 0.0000 0.5000
0.3333 0.6667 0.0765
0.6667 0.3333 0.9235
0.3333 0.6667 0.7252
0.6667 0.3333 0.2748

---

Ho5Bi5Te | Alexandria | PBE | relaxed; space group = No. 12; E = -53.5 eV/cell; calculated density = 9160 kg/m³
1.0
6.9837 -3.0942 0.0000
6.9837 3.0942 0.0000
-2.8534 0.0000 8.3770
Ho Bi Te
5 5 1
direct
0.0000 0.0000 0.0000
0.3270 0.3270 0.1646
0.3315 0.3315 0.6656
0.6685 0.6685 0.3344
0.6730 0.6730 0.8354
0.1572 0.1572 0.3399
0.1568 0.1568 0.8162
0.5000 0.5000 0.5000
0.8432 0.8432 0.1838
0.8428 0.8428 0.6601
0.5000 0.5000 0.0000

---

ScZn4Au | Alexandria | PBE | relaxed; space group = No. 63; ΔH_f (0 K) = -271 meV/atom; E = -32.7 eV/cell; calculated density = 8129 kg/m³
1.0
1.8849 -8.1049 0.0000
1.8849 8.1049 0.0000
0.0000 0.0000 6.7336
Sc Zn Au
2 8 2
direct
0.1113 0.8887 0.7500
0.8887 0.1113 0.2500
0.0684 0.9316 0.2500
0.3407 0.6593 0.5513
0.3407 0.6593 0.9487
0.5000 0.5000 0.0000
0.5000 0.5000 0.5000
0.6593 0.3407 0.0513
0.6593 0.3407 0.4487
0.9316 0.0684 0.7500
0.2420 0.7580 0.2500
0.7580 0.2420 0.7500